Material: Be2AlBr
Method: DFT, GGA-PBE
State: relaxed

Cell: 3.9051 3.0563 7.1302 Å, 90.00 90.56 90.00°
With the nearest neighbours (Å) after each atom.
Element x y z (fractional)
1 Be 0.0000 0.0000 0.0000  2 Br 2.15, 2 Be 2.33
2 Be 0.0056 0.5000 0.2468  2 Be 2.33, 4 Al 2.48
3 Al 0.5052 0.0000 0.2417  6 Be 2.48-2.61
4 Br 0.9965 0.5000 0.7870  2 Be 2.15

DFT total energy, eV for the cell shown: -11.70
Offset from the most stable computed form, eV/atom: 0.2117

Material: BeAlBr2
Method: DFT, GGA-PBE
State: relaxed

Cell: 10.2600 10.2600 10.2600 Å, 21.13 21.13 21.13°
With the nearest neighbours (Å) after each atom.
Element x y z (fractional)
1 Be 0.0000 0.0000 0.0000  2 Br 1.96
2 Al 0.5000 0.5000 0.5000  6 Br 3.75, 6 Al 3.76
3 Br 0.0651 0.0651 0.0651  1 Be 1.96
4 Br 0.9349 0.9349 0.9349  1 Be 1.96

DFT total energy, eV for the cell shown: -10.69
Offset from the most stable computed form, eV/atom: 0.3638

Material: BeAl2Br
Method: DFT, GGA-PBE
State: relaxed

Cell: 5.1861 5.1861 3.0934 Å, 105.78 105.78 85.82°
With the nearest neighbours (Å) after each atom.
Element x y z (fractional)
1 Be 0.0000 0.0000 0.0000  4 Al 2.63
2 Al 0.0000 0.5000 0.5000  2 Br 2.63, 2 Be 2.63
3 Al 0.5000 0.0000 0.5000  2 Br 2.63, 2 Be 2.63
4 Br 0.5000 0.5000 0.0000  4 Al 2.63

DFT total energy, eV for the cell shown: -11.10
Offset from the most stable computed form, eV/atom: 0.2872